NaOsRh PBE optimized geometry; calculated volume = 130 Å³ per cell; total magnetic moment = 0.000 μB/f.u.; formation energy = 72.4 kJ/mol of atoms; space-group type = P4/nmm, No. 129; ρ = 8051 kg/m³; polymorph energy (0 for the lowest one) = 423.2 meV per atom
1.0
4.5526 0.0000 0.0000
0.0000 4.5526 0.0000
0.0000 0.0000 6.2918
Na Os Rh
2 2 2
Direct
0.2500 0.2500 0.1391 Na
0.7500 0.7500 0.8609 Na
0.2500 0.2500 0.6463 Os
0.7500 0.7500 0.3537 Os
0.2500 0.7500 0.5000 Rh
0.7500 0.2500 0.5000 Rh